[1]
DFT (PBE) results for MoHBr2 after structural relaxation.

Cell: 6.2351 6.2351 6.2351 Å, 126.43 126.43 79.18°
Fractional coordinates of all 8 atoms:
Mo 0.0000 0.0000 0.0000
Mo 0.7500 0.2500 0.5000
H 0.2500 0.7500 0.5000
H 0.5000 0.5000 0.0000
Br 0.1762 0.6250 0.0512
Br 0.3750 0.4262 0.5512
Br 0.5738 0.1250 0.9488
Br 0.8750 0.8238 0.4488

Computed properties:
E ... -29.279 eV for the cell shown
Space-group type ... I-42d
Total magnetic moment ... 2.0 μB per cell

***

[2]
DFT (PBE) results for Mo2HBr after structural relaxation.

Cell: 4.2408 4.2408 4.2408 Å, 60.00 60.00 60.00°
Fractional coordinates of all 4 atoms:
Mo 0.2500 0.2500 0.2500
Mo 0.7500 0.7500 0.7500
H 0.0000 0.0000 0.0000
Br 0.5000 0.5000 0.5000

Computed properties:
E ... -21.528 eV for the cell shown
Space-group type ... Fm-3m
Distance to the lowest polymorph of the same formula ... 14.22 kcal/mol of atoms
Total magnetic moment ... 0.0 μB per cell

***

[3]
DFT (PBE) results for MoHSeBr2 after structural relaxation.

Cell: 5.2654 5.2654 3.5610 Å, 90.00 90.00 90.00°
Fractional coordinates of all 5 atoms:
Mo 0.0000 0.0000 0.0000
H 0.5000 0.5000 0.5000
Se 0.5000 0.5000 0.0000
Br 0.0000 0.5000 0.5000
Br 0.5000 0.0000 0.5000

Computed properties:
E ... -16.687 eV for the cell shown
Space-group type ... P4/mmm
Distance to the lowest polymorph of the same formula ... 10.96 kcal/mol of atoms
Total magnetic moment ... 3.4 μB per cell

***

[4]
DFT (PBE) results for MoHSeBr2 after structural relaxation.

Cell: 5.2917 5.2917 4.8269 Å, 90.00 90.00 90.00°
Fractional coordinates of all 5 atoms:
Mo 0.0000 0.0000 0.0000
H 0.5000 0.5000 0.5000
Se 0.0000 0.0000 0.5000
Br 0.0000 0.5000 0.0000
Br 0.5000 0.0000 0.0000

Computed properties:
E ... -19.064 eV for the cell shown
Space-group type ... P4/mmm
Distance to the lowest polymorph of the same formula ... 0.00 kcal/mol of atoms
Total magnetic moment ... 2.7 μB per cell